{"formula": "PuMg3Au4", "functional": "PBE-GGA", "state": "optimized geometry", "dos_at_fermi_per_ev_cell": 16.07, "e_tot_ev_per_fu": -36.4, "lattice_angstrom": [[2.3535, 1.3588, 8.4395], [-2.3535, 1.3588, 8.4395], [0.0000, -2.7176, 8.4395]], "species": ["Pu", "Mg", "Mg", "Mg", "Au", "Au", "Au", "Au"], "frac_coords": [[0.0000, 0.0000, 0.0000], [0.2423, 0.2423, 0.2423], [0.5000, 0.5000, 0.5000], [0.7577, 0.7577, 0.7577], [0.1266, 0.1266, 0.1266], [0.3914, 0.3914, 0.3914], [0.6086, 0.6086, 0.6086], [0.8734, 0.8734, 0.8734]]}

{"formula": "PuMgAu", "functional": "PBE-GGA", "state": "optimized geometry", "dos_at_fermi_per_ev_cell": 12.65, "e_tot_ev_per_fu": -19.8, "lattice_angstrom": [[0.0000, 3.4361, 3.4361], [3.4361, 0.0000, 3.4361], [3.4361, 3.4361, 0.0000]], "species": ["Pu", "Mg", "Au"], "frac_coords": [[0.0000, 0.0000, 0.0000], [0.5000, 0.5000, 0.5000], [0.2500, 0.2500, 0.2500]]}

{"formula": "PuMg2Au", "functional": "PBE-GGA", "state": "optimized geometry", "dos_at_fermi_per_ev_cell": 7.90, "e_tot_ev_per_fu": -21.3, "lattice_angstrom": [[1.6011, 0.9244, 9.9768], [-1.6011, 0.9244, 9.9768], [0.0000, -1.8487, 9.9768]], "species": ["Pu", "Mg", "Mg", "Au"], "frac_coords": [[0.0000, 0.0000, 0.0000], [0.5710, 0.5710, 0.5710], [0.7615, 0.7615, 0.7615], [0.1661, 0.1661, 0.1661]]}

{"formula": "Pu2MgAu", "functional": "PBE-GGA", "state": "optimized geometry", "polymorph_energy_mev_per_atom": 67, "dos_at_fermi_per_ev_cell": 14.98, "e_tot_ev_per_fu": -34.0, "lattice_angstrom": [[4.0010, 0.0000, 0.0000], [0.0000, 4.0010, 0.0000], [0.0000, 0.0000, 6.1028]], "species": ["Pu", "Pu", "Mg", "Au"], "frac_coords": [[0.0000, 0.0000, 0.2365], [0.0000, 0.0000, 0.7635], [0.5000, 0.5000, 0.5000], [0.5000, 0.5000, 0.0000]]}